(1)
The following is a PBE calculation of an optimized crystal structure of Al2CrIr, from Alexandria via LeMat-Bulk.

```
4
Lattice="-1.6400 2.0624 0.6787 0.5417 -1.6694 2.0793 6.5137 4.5388 1.9472" Properties=species:S:1:pos:R:3 pbc="T T T"
Cr 1.0793 1.3312 1.8658
Ir 4.3361 3.6006 2.8394
Al 0.0192 0.0134 0.0057
Al 3.2377 2.2560 0.9679
```

***

(2)
The following is a PBE calculation of an optimized crystal structure of AlCr4Ir, from Alexandria via LeMat-Bulk.

```
6
Lattice="-2.5830 -2.3846 3.1986 -4.1413 -1.9555 -1.2709 -0.3995 -4.7255 -0.3144" Properties=species:S:1:pos:R:3 pbc="T T T"
Al 0.0000 0.0000 0.0000
Cr -4.7665 -4.3741 -0.0479
Cr -3.9712 -4.5931 2.2334
Cr -2.8568 -5.7879 0.4403
Cr -2.6529 -3.3760 0.6008
Ir -5.3428 -6.7992 1.2100
```

***

(3)
The following is a PBE calculation of an optimized crystal structure of Al2CrIr, from Alexandria via LeMat-Bulk.

```
4
Lattice="-1.8424 -3.9020 0.1373 0.4625 -2.4835 3.5010 -3.3688 -0.7060 2.6061" Properties=species:S:1:pos:R:3 pbc="T T T"
Cr -2.3744 -3.5458 3.1222
Ir -3.5616 -5.3187 4.6833
Al 0.0000 0.0000 0.0000
Al -1.1872 -1.7729 1.5611
```

***

(4)
The following is a PBE calculation of an optimized crystal structure of LiAlCrIr, from Alexandria via LeMat-Bulk.

```
4
Lattice="4.1972 0.0000 0.0000 2.0986 3.6348 0.0000 2.0986 1.2116 3.4270" Properties=species:S:1:pos:R:3 pbc="T T T"
Cr 6.2957 3.6348 2.5702
Ir 0.0000 0.0000 0.0000
Al 2.0986 1.2116 0.8567
Li 4.1972 2.4232 1.7135
```

***

(5)
The following is a PBE calculation of an optimized crystal structure of AlCrNiIr2, from Alexandria via LeMat-Bulk.

```
5
Lattice="-1.6469 -3.7705 1.6342 2.6940 -2.1747 -2.3025 2.9427 0.1468 3.3044" Properties=species:S:1:pos:R:3 pbc="T T T"
Ni 1.3470 -1.0873 -1.1512
Ir 1.4713 0.0734 1.6522
Ir -0.8235 -1.8853 0.8171
Al 0.0000 0.0000 0.0000
Cr 1.9949 -2.8992 1.3180
```

***

The spin magnetization results, record by record, are as follows: 0.00, 0.00, 0.75, 0.25, 0.06 μB per atom.
The energy of formation results, record by record, are as follows: -203, -43, -273, -368, 1170 meV per atom.
The V results, record by record, are as follows: 13.90, 12.65, 14.23, 13.07, 16.30 Å³/atom.